The following is a DFT calculation (GGA-PBE) of a relaxed LaNdTmPb crystal.

Properties
Its total moment is 0.0 μB per cell. The density of states at the Fermi level is 1.7901 states/eV per atom. The energy of formation is -166 meV per atom.

a b c (Å): 5.631 5.631 5.631
angles (deg): 60.00 60.00 60.00
Fractional positions:
Pb1 0.250 0.250 0.250
Tm1 0.750 0.750 0.750
Nd1 0.000 0.000 0.000
La1 0.500 0.500 0.500